Record 1
Compound: Sc2Al
Source: Alexandria via LeMat-Bulk
Functional: SCAN
Structure: PBEsol geometry

Calculated values
Spin magnetization   0.0 μB per cell
Calculated formation energy   -31.05 kJ/mol of atoms

a b c (Å): 3.3501 15.2243 4.7904
angles (deg): 90.00 90.00 90.00
Space group Cmcm (No. 63)
Symmetry-distinct sites (fractional):
Sc (0.0000, 0.0874, 0.2500)
Sc (0.0000, 0.2274, 0.7500)
Al (0.0000, 0.4297, 0.2500)

=====

Record 2
Compound: Sc2Al
Source: Alexandria via LeMat-Bulk
Functional: SCAN
Structure: PBEsol geometry

Calculated values
Spin magnetization   0.0 μB per cell
Calculated formation energy   -26.26 kJ/mol of atoms

a b c (Å): 4.3734 13.4333 4.1618
angles (deg): 90.00 90.00 90.00
Space group Cmmm (No. 65)
Symmetry-distinct sites (fractional):
Sc (0.0000, 0.0000, 0.0000)
Sc (0.0000, 0.1704, 0.5000)
Sc (0.0000, 0.5000, 0.5000)
Al (0.0000, 0.3370, 0.0000)

=====

Record 3
Compound: Sc2Al
Source: Alexandria via LeMat-Bulk
Functional: SCAN
Structure: PBEsol geometry

Calculated values
Spin magnetization   26.9 μB per cell
Calculated formation energy   -29.96 kJ/mol of atoms

a b c (Å): 12.8012 12.8012 12.8012
angles (deg): 90.00 90.00 90.00
Space group Fd-3m (No. 227, origin choice 2)
Symmetry-distinct sites (fractional):
Sc (0.0000, 0.0000, 0.0000)
Sc (0.0654, 0.3750, 0.8750)
Al (0.0367, 0.0367, 0.2133)

=====

Record 4
Compound: Sc3Al
Source: Alexandria via LeMat-Bulk
Functional: SCAN
Structure: PBEsol geometry

Calculated values
Spin magnetization   0.9 μB per cell
Calculated formation energy   -16.54 kJ/mol of atoms

a b c (Å): 3.1985 4.3165 6.1347
angles (deg): 90.00 90.00 90.00
Space group Pmmm (No. 47)
Symmetry-distinct sites (fractional):
Sc (0.0000, 0.0000, 0.0000)
Sc (0.5000, 0.5000, 0.2572)
Al (0.0000, 0.0000, 0.5000)

=====

Record 5
Compound: ScAl3
Source: Alexandria via LeMat-Bulk
Functional: SCAN
Structure: PBEsol geometry

Calculated values
Spin magnetization   0.0 μB per cell
Calculated formation energy   -44.80 kJ/mol of atoms

a b c (Å): 4.0705 4.0705 4.0705
angles (deg): 90.00 90.00 90.00
Space group Pm-3m (No. 221)
Symmetry-distinct sites (fractional):
Sc (0.0000, 0.0000, 0.0000)
Al (0.0000, 0.5000, 0.5000)

=====

Record 6
Compound: Sc3Al
Source: Alexandria via LeMat-Bulk
Functional: SCAN
Structure: PBEsol geometry

Calculated values
Spin magnetization   2.8 μB per cell
Calculated formation energy   -25.98 kJ/mol of atoms

a b c (Å): 4.9650 6.1929 5.6563
angles (deg): 90.00 90.00 90.00
Space group Pmmn (No. 59, origin choice 2)
Symmetry-distinct sites (fractional):
Sc (0.2500, 0.0041, 0.1610)
Sc (0.2500, 0.2500, 0.6327)
Al (0.2500, 0.7500, 0.6655)

=====

Record 7
Compound: Sc3Al
Source: Alexandria via LeMat-Bulk
Functional: SCAN
Structure: PBEsol geometry

Calculated values
Spin magnetization   5.1 μB per cell
Calculated formation energy   -14.01 kJ/mol of atoms

a b c (Å): 6.9389 6.9389 6.9389
angles (deg): 90.00 90.00 90.00
Space group Fm-3m (No. 225)
Symmetry-distinct sites (fractional):
Sc (0.0000, 0.0000, 0.0000)
Sc (0.2500, 0.2500, 0.2500)
Al (0.0000, 0.0000, 0.5000)

=====

Record 8
Compound: Sc2Al3
Source: Alexandria via LeMat-Bulk
Functional: SCAN
Structure: PBEsol geometry

Calculated values
Spin magnetization   0.0 μB per cell
Calculated formation energy   -10.32 kJ/mol of atoms

a b c (Å): 4.6079 4.6079 5.7235
angles (deg): 90.00 90.00 120.00
Space group P-3m1 (No. 164)
Symmetry-distinct sites (fractional):
Sc (0.3333, 0.6667, 0.3387)
Al (0.0000, 0.0000, 0.5000)
Al (0.3333, 0.6667, 0.8516)

=====

Record 9
Compound: ScAl2
Source: Alexandria via LeMat-Bulk
Functional: SCAN
Structure: PBEsol geometry

Calculated values
Spin magnetization   0.6 μB per cell
Calculated formation energy   -48.94 kJ/mol of atoms

a b c (Å): 7.5236 7.5236 7.5236
angles (deg): 90.00 90.00 90.00
Space group Fd-3m (No. 227, origin choice 2)
Symmetry-distinct sites (fractional):
Sc (0.1250, 0.1250, 0.1250)
Al (0.0000, 0.0000, 0.5000)

=====

Record 10
Compound: Sc3Al
Source: Alexandria via LeMat-Bulk
Functional: SCAN
Structure: PBEsol geometry

Calculated values
Spin magnetization   0.0 μB per cell
Calculated formation energy   -19.26 kJ/mol of atoms

a b c (Å): 5.5196 5.5196 5.5196
angles (deg): 90.00 90.00 90.00
Space group Pm-3n (No. 223)
Symmetry-distinct sites (fractional):
Sc (0.0000, 0.2500, 0.5000)
Al (0.0000, 0.0000, 0.0000)

=====

Record 11
Compound: Sc2AlSe
Source: Alexandria via LeMat-Bulk
Functional: SCAN
Structure: PBEsol geometry

Calculated values
Spin magnetization   0.0 μB per cell
Formation energy without anion corrections   -0.462 eV per atom

a b c (Å): 3.4828 3.4828 26.8402
angles (deg): 90.00 90.00 120.00
Space group R-3m (No. 166, hexagonal axes)
Symmetry-distinct sites (fractional):
Sc (0.0000, 0.0000, 0.1050)
Al (0.0000, 0.0000, 0.0000)
Se (0.0000, 0.0000, 0.5000)

=====

Record 12
Compound: Sc2AlSe
Source: Alexandria via LeMat-Bulk
Functional: SCAN
Structure: PBEsol geometry

Calculated values
Spin magnetization   0.0 μB per cell
Formation energy without anion corrections   -0.878 eV per atom

a b c (Å): 3.8763 3.8763 5.5144
angles (deg): 90.00 90.00 90.00
Space group P4/mmm (No. 123)
Symmetry-distinct sites (fractional):
Sc (0.0000, 0.0000, 0.0000)
Sc (0.5000, 0.5000, 0.5000)
Al (0.0000, 0.0000, 0.5000)
Se (0.5000, 0.5000, 0.0000)

=====

What did the third record say?
Compound: Sc2Al
Source: Alexandria via LeMat-Bulk
Functional: SCAN
Structure: PBEsol geometry

Calculated values
Spin magnetization   26.9 μB per cell
Calculated formation energy   -29.96 kJ/mol of atoms

a b c (Å): 12.8012 12.8012 12.8012
angles (deg): 90.00 90.00 90.00
Space group Fd-3m (No. 227, origin choice 2)
Symmetry-distinct sites (fractional):
Sc (0.0000, 0.0000, 0.0000)
Sc (0.0654, 0.3750, 0.8750)
Al (0.0367, 0.0367, 0.2133)